Entry from Alexandria: LiPmTl3 after structural relaxation (PBE-GGA).

Values from the calculation:
- Electronic total energy: -2.90 eV/atom
- DOS(E_F): 3.96 states/eV/cell
- Symmetry: No. 12
- Calculated formation energy: -0.15 eV/atom
- Volume: 264 Å³/cell

The structure in extended XYZ format:
```
10
Lattice="12.277 -2.299 0.000 12.277 2.299 0.000 -0.887 0.000 4.670" Properties=species:S:1:pos:R:3 pbc="T T T"
Li 3.143 0.000 1.831
Li 20.525 0.000 2.839
Pm 10.310 0.000 0.832
Pm 13.357 0.000 3.837
Tl 0.649 0.000 1.332
Tl 3.994 0.000 4.414
Tl 6.846 0.000 2.566
Tl 16.822 0.000 2.103
Tl 19.674 0.000 0.255
Tl 23.019 0.000 3.338
```


Entry from Alexandria: Zn2HCN after structural relaxation (PBE-GGA).

Values from the calculation:
- Electronic total energy: -3.63 eV/atom
- DOS(E_F): 3.12 states/eV/cell
- Symmetry: No. 123
- Volume: 46 Å³/cell

The structure in extended XYZ format:
```
5
Lattice="4.056 0.000 0.000 0.000 4.056 0.000 0.000 0.000 2.797" Properties=species:S:1:pos:R:3 pbc="T T T"
Zn 0.000 2.028 0.000
Zn 2.028 0.000 0.000
H 0.000 0.000 1.398
C 0.000 0.000 0.000
N 2.028 2.028 1.398
```


Entry from Alexandria: Er2AgB2Rh5 after structural relaxation (PBE-GGA).

Values from the calculation:
- Electronic total energy: -6.88 eV/atom
- DOS(E_F): 8.59 states/eV/cell
- Symmetry: No. 127
- Calculated formation energy: -0.67 eV/atom
- Volume: 294 Å³/cell

The structure in extended XYZ format:
```
20
Lattice="9.571 0.000 0.000 0.000 9.571 0.000 0.000 0.000 3.214" Properties=species:S:1:pos:R:3 pbc="T T T"
Er 1.685 3.100 0.000
Er 3.100 7.885 0.000
Er 6.471 1.685 0.000
Er 7.885 6.471 0.000
Ag 0.000 0.000 0.000
Ag 4.785 4.785 0.000
B 1.183 5.968 0.000
B 3.602 1.183 0.000
B 5.968 8.388 0.000
B 8.388 3.602 0.000
Rh 0.000 4.785 1.607
Rh 0.679 7.410 1.607
Rh 2.160 0.679 1.607
Rh 2.625 5.465 1.607
Rh 4.106 2.625 1.607
Rh 4.785 0.000 1.607
Rh 5.465 6.946 1.607
Rh 6.946 4.106 1.607
Rh 7.410 8.891 1.607
Rh 8.891 2.160 1.607
```


Entry from Alexandria: Mn2NiRh after structural relaxation (PBE-GGA).

Values from the calculation:
- Electronic total energy: -7.86 eV/atom
- DOS(E_F): 5.89 states/eV/cell
- Symmetry: No. 139
- Calculated formation energy: 0.01 eV/atom
- Volume: 48 Å³/cell

The structure in extended XYZ format:
```
4
Lattice="-1.818 1.818 3.664 1.818 -1.818 3.664 1.818 1.818 -3.664" Properties=species:S:1:pos:R:3 pbc="T T T"
Mn 1.818 0.000 1.832
Mn 0.000 1.818 1.832
Ni 0.000 0.000 0.000
Rh 0.000 0.000 3.664
```


Entry from Alexandria: PaB2C after structural relaxation (PBE-GGA).

Values from the calculation:
- Electronic total energy: -7.90 eV/atom
- DOS(E_F): 3.39 states/eV/cell
- Symmetry: No. 40
- Calculated formation energy: 0.12 eV/atom
- Volume: 86 Å³/cell

The structure in extended XYZ format:
```
8
Lattice="3.571 0.000 0.000 0.000 4.550 2.653 0.000 -4.550 2.653" Properties=species:S:1:pos:R:3 pbc="T T T"
Pa 0.893 -3.054 2.653
Pa 2.678 3.054 2.653
B 0.893 0.968 2.525
B 0.893 -0.517 3.518
B 2.678 -0.968 2.525
B 2.678 0.517 3.518
C 0.893 -0.719 1.839
C 2.678 0.719 1.839
```


Entry from Alexandria: Na4MnCr3Se8 after structural relaxation (PBE-GGA).

Values from the calculation:
- Electronic total energy: -5.23 eV/atom
- DOS(E_F): 2.66 states/eV/cell
- Symmetry: No. 166
- Formation energy without anion corrections: -783 meV/atom
- Volume: 340 Å³/cell

The structure in extended XYZ format:
```
16
Lattice="3.787 2.186 6.852 -3.787 2.186 6.852 0.000 -4.372 6.852" Properties=species:S:1:pos:R:3 pbc="T T T"
Na 0.000 0.000 0.000
Na -1.893 -1.093 6.852
Na -1.893 1.093 13.704
Na 0.000 2.186 6.852
Mn 0.000 0.000 10.278
Cr -3.787 0.000 10.278
Cr -1.893 1.093 3.426
Cr 1.893 1.093 3.426
Se -1.919 -1.108 11.653
Se 0.000 0.000 4.787
Se 0.000 -2.216 8.903
Se -1.919 1.108 8.903
Se 1.919 -1.108 11.653
Se 0.000 2.216 11.653
Se 0.000 0.000 15.768
Se 1.919 1.108 8.903
```


Entry from Alexandria: Li3MoBr after structural relaxation (PBE-GGA).

Values from the calculation:
- Electronic total energy: -3.21 eV/atom
- DOS(E_F): 5.38 states/eV/cell
- Symmetry: No. 221
- Formation energy without anion corrections: 440 meV/atom
- Volume: 116 Å³/cell

The structure in extended XYZ format:
```
5
Lattice="4.879 0.000 0.000 0.000 4.879 0.000 0.000 0.000 4.879" Properties=species:S:1:pos:R:3 pbc="T T T"
Li 0.000 0.000 2.439
Li 0.000 2.439 0.000
Li 2.439 0.000 0.000
Mo 2.439 2.439 2.439
Br 0.000 0.000 0.000
```


Entry from Alexandria: Nd3UN4 after structural relaxation (PBE-GGA).

Values from the calculation:
- Electronic total energy: -8.79 eV/atom
- DOS(E_F): 7.24 states/eV/cell
- Symmetry: No. 13
- Formation energy without anion corrections: -1424 meV/atom
- Volume: 260 Å³/cell

The structure in extended XYZ format:
```
16
Lattice="6.217 0.000 0.000 0.000 7.172 0.000 -2.061 0.000 5.826" Properties=species:S:1:pos:R:3 pbc="T T T"
Nd -0.515 0.884 1.456
Nd -1.546 2.692 4.369
Nd -0.515 4.480 1.456
Nd -1.546 6.288 4.369
Nd 1.563 0.886 4.369
Nd 2.593 6.286 1.456
U 2.593 2.680 1.456
U 1.563 4.492 4.369
N 1.642 1.088 0.162
N 0.611 6.084 3.075
N 0.757 2.811 2.895
N -0.273 4.361 5.808
N 4.429 2.811 0.018
N 3.399 4.361 2.931
N 3.545 1.088 2.751
N 2.514 6.084 5.664
```


Copy entry 2 word for word.
Entry from Alexandria: Zn2HCN after structural relaxation (PBE-GGA).

Values from the calculation:
- Electronic total energy: -3.63 eV/atom
- DOS(E_F): 3.12 states/eV/cell
- Symmetry: No. 123
- Volume: 46 Å³/cell

The structure in extended XYZ format:
```
5
Lattice="4.056 0.000 0.000 0.000 4.056 0.000 0.000 0.000 2.797" Properties=species:S:1:pos:R:3 pbc="T T T"
Zn 0.000 2.028 0.000
Zn 2.028 0.000 0.000
H 0.000 0.000 1.398
C 0.000 0.000 0.000
N 2.028 2.028 1.398
```


electronic total energy of number 4 (Mn2NiRh)? -7.86 eV/atom


Please write out number 1 again, unchanged.
Entry from Alexandria: LiPmTl3 after structural relaxation (PBE-GGA).

Values from the calculation:
- Electronic total energy: -2.90 eV/atom
- DOS(E_F): 3.96 states/eV/cell
- Symmetry: No. 12
- Calculated formation energy: -0.15 eV/atom
- Volume: 264 Å³/cell

The structure in extended XYZ format:
```
10
Lattice="12.277 -2.299 0.000 12.277 2.299 0.000 -0.887 0.000 4.670" Properties=species:S:1:pos:R:3 pbc="T T T"
Li 3.143 0.000 1.831
Li 20.525 0.000 2.839
Pm 10.310 0.000 0.832
Pm 13.357 0.000 3.837
Tl 0.649 0.000 1.332
Tl 3.994 0.000 4.414
Tl 6.846 0.000 2.566
Tl 16.822 0.000 2.103
Tl 19.674 0.000 0.255
Tl 23.019 0.000 3.338
```


The lowest electronic total energy belongs to which entry? Nd3UN4